Computed, not measured: a relaxed Co3Os4PbO12 crystal at the PBE+U level of DFT.

Properties
Calculated volume in Å³/atom: 10.806
Uncorrected energy in eV/f.u.: -139.90

abc: 6.5480 6.5480 6.5480
angles: 109.47 109.47 109.47
Element x y z (fractional)
Co 0.5000 0.5000 0.0000
Co 0.5000 0.0000 0.5000
Co 0.0000 0.5000 0.5000
O 0.3137 0.8176 0.1313
O 0.4962 0.3137 0.1824
O 0.8687 0.6863 0.1824
O 0.8176 0.1313 0.3137
O 0.1824 0.4962 0.3137
O 0.3137 0.1824 0.4962
O 0.6863 0.8176 0.5038
O 0.8176 0.5038 0.6863
O 0.1824 0.8687 0.6863
O 0.1313 0.3137 0.8176
O 0.5038 0.6863 0.8176
O 0.6863 0.1824 0.8687
Os 0.5000 0.0000 0.0000
Os 0.0000 0.5000 0.0000
Os 0.0000 0.0000 0.5000
Os 0.5000 0.5000 0.5000
Pb 0.0000 0.0000 0.0000